Entry 1:
# P6Br7 (PBE, optimized geometry)
data_P6Br7
_chemical_formula_sum 'P6 Br7'
_cell_length_a 14.815
_cell_length_b 14.815
_cell_length_c 14.815
_cell_angle_alpha 32.50
_cell_angle_beta 32.50
_cell_angle_gamma 32.50
_space_group_name_H-M_alt 'P 1'
_space_group_IT_number 1
_space_group_name_Hall 'P 1'
loop_
_atom_site_label
_atom_site_type_symbol
_atom_site_fract_x
_atom_site_fract_y
_atom_site_fract_z
P1 P 0.052 0.052 0.052
P2 P 0.097 0.097 0.097
P3 P 0.231 0.231 0.231
P4 P 0.769 0.769 0.769
P5 P 0.903 0.903 0.903
P6 P 0.948 0.948 0.948
Br1 Br 0.076 0.649 0.649
Br2 Br 0.351 0.351 0.924
Br3 Br 0.351 0.924 0.351
Br4 Br 0.500 0.500 0.500
Br5 Br 0.649 0.076 0.649
Br6 Br 0.649 0.649 0.076
Br7 Br 0.924 0.351 0.351
# Energy relative to the elements, uncorrected (eV/atom): 0.112



Entry 2:
# CaAlCd (PBE, optimized geometry)
data_CaAlCd
_chemical_formula_sum 'Ca1 Al1 Cd1'
_cell_length_a 5.063
_cell_length_b 5.063
_cell_length_c 5.063
_cell_angle_alpha 60.00
_cell_angle_beta 60.00
_cell_angle_gamma 60.00
_space_group_name_H-M_alt 'P 1'
_space_group_IT_number 1
_space_group_name_Hall 'P 1'
loop_
_atom_site_label
_atom_site_type_symbol
_atom_site_fract_x
_atom_site_fract_y
_atom_site_fract_z
Ca1 Ca 0.000 0.000 0.000
Al1 Al 0.750 0.750 0.750
Cd1 Cd 0.250 0.250 0.250
# Energy of formation (eV per formula unit): 0.99



Entry 3:
# Nd2Dy3Tm6 (PBE, optimized geometry)
data_Nd2Dy3Tm6
_chemical_formula_sum 'Nd2 Dy3 Tm6'
_cell_length_a 16.810
_cell_length_b 16.810
_cell_length_c 16.810
_cell_angle_alpha 163.91
_cell_angle_beta 163.91
_cell_angle_gamma 22.83
_space_group_name_H-M_alt 'P 1'
_space_group_IT_number 1
_space_group_name_Hall 'P 1'
loop_
_atom_site_label
_atom_site_type_symbol
_atom_site_fract_x
_atom_site_fract_y
_atom_site_fract_z
Nd1 Nd 0.046 0.046 0.000
Nd2 Nd 0.954 0.954 0.000
Dy1 Dy 0.298 0.298 0.000
Dy2 Dy 0.500 0.500 0.000
Dy3 Dy 0.702 0.702 0.000
Tm1 Tm 0.122 0.622 0.500
Tm2 Tm 0.194 0.194 0.000
Tm3 Tm 0.378 0.878 0.500
Tm4 Tm 0.622 0.122 0.500
Tm5 Tm 0.806 0.806 0.000
Tm6 Tm 0.878 0.378 0.500
# Energy of formation (eV per formula unit): 2.98



The size of the total moment results, record by record, are as follows: 0.00; 0.00; 0.00 μB/f.u..